# 1
Crystalline AlZnTc at its relaxed geometry. Source: Alexandria, functional GGA-PBE.

The structure in POSCAR format:
```
AlZnTc
1.0
2.816 0.000 0.000
-1.408 2.439 0.000
0.000 0.000 6.551
Zn Tc Al
1 1 1
Cartesian
0.000 1.626 4.327
1.408 0.813 2.149
0.000 0.000 0.075
```

Summary:
E above lowest polymorph   17.71 kJ per mole of atoms
DOS at the Fermi energy   2.436 states/eV per cell
Spin magnetization   0.060 μB/atom
Symmetry   No. 156
Raw total energy   -5.115 eV per atom
Calculated formation energy   12 meV/atom


# 2
Crystalline Pm2TiAl4Pd3 at its relaxed geometry. Source: Alexandria, functional GGA-PBE.

The structure in POSCAR format:
```
Pm2TiAl4Pd3
1.0
-2.110 -0.504 -3.627
3.651 -0.611 -2.039
-0.734 -10.825 1.932
Al Pd Pm Ti
4 3 2 1
Cartesian
0.771 -0.558 -2.833
1.565 -4.145 -0.334
-1.528 -7.238 -0.566
0.000 0.000 0.000
-0.367 -5.413 0.966
1.732 -1.686 -0.773
-1.695 -9.697 -0.128
1.274 -8.439 0.433
-1.237 -2.944 -1.333
0.404 -5.971 -1.867
```

Summary:
DOS at the Fermi energy   7.108 states/eV per cell
Spin magnetization   0.000 μB/atom
Symmetry   No. 115
Raw total energy   -5.475 eV per atom
Calculated formation energy   -681 meV/atom


# 3
Crystalline Be2S at its relaxed geometry. Source: Alexandria, functional GGA-PBE.

The structure in POSCAR format:
```
Be2S
1.0
-2.820 2.069 6.993
-3.135 -0.289 -1.179
-0.106 -5.751 1.690
S Be
4 8
Cartesian
-1.832 -2.440 5.470
-2.400 -4.349 2.654
-3.347 0.292 4.036
-0.779 -1.329 2.398
-4.073 0.812 5.841
-1.054 -3.052 3.551
-2.559 -1.920 7.275
-2.569 -0.321 2.116
-2.244 -4.053 6.960
-4.471 -2.829 7.789
-2.850 0.191 7.533
-3.758 -1.322 5.526
```

Summary:
E above lowest polymorph   17.02 kJ per mole of atoms
DOS at the Fermi energy   1.518 states/eV per cell
Spin magnetization   0.000 μB/atom
Symmetry   No. 8
Raw total energy   -4.135 eV per atom
Raw formation energy   -275 meV per atom


# 4
Crystalline CdCu2Pb at its relaxed geometry. Source: Alexandria, functional GGA-PBE.

The structure in POSCAR format:
```
CdCu2Pb
1.0
-3.412 -8.031 -1.976
-0.357 -8.501 -2.765
-1.293 -8.848 0.264
Cu Cd Pb
2 1 1
Cartesian
-2.512 -12.594 -2.222
-0.019 -0.096 -0.017
-3.797 -19.035 -3.358
-1.266 -6.345 -1.119
```

Summary:
E above lowest polymorph   13.57 kJ per mole of atoms
DOS at the Fermi energy   1.418 states/eV per cell
Spin magnetization   0.000 μB/atom
Symmetry   No. 166
Raw total energy   -2.912 eV per atom
Calculated formation energy   292 meV/atom


# 5
Crystalline Nb3V8Mo at its relaxed geometry. Source: Alexandria, functional GGA-PBE.

The structure in POSCAR format:
```
Nb3V8Mo
1.0
-0.069 4.601 2.145
-4.091 -2.993 0.279
2.790 -3.172 6.892
V Nb Mo
8 3 1
Cartesian
-0.646 -1.029 2.186
-2.762 -0.211 3.419
2.030 -0.074 6.232
0.015 -1.548 6.369
-2.727 -2.552 2.328
0.038 -3.632 7.791
-0.019 0.717 7.425
-1.354 -2.050 4.352
-0.183 0.674 4.556
-1.240 1.876 1.944
2.612 -2.970 6.454
1.563 -1.778 3.862
```

Summary:
DOS at the Fermi energy   8.635 states/eV per cell
Spin magnetization   0.000 μB/atom
Symmetry   No. 156
Raw total energy   -9.556 eV per atom
Calculated formation energy   -57 meV/atom


# 6
Crystalline NdHoTm2 at its relaxed geometry. Source: Alexandria, functional GGA-PBE.

The structure in POSCAR format:
```
NdHoTm2
1.0
4.994 0.000 0.000
0.000 5.022 0.000
0.000 0.000 5.022
Tm Nd Ho
2 1 1
Cartesian
0.000 2.511 0.000
0.000 0.000 2.511
2.497 0.000 0.000
2.497 2.511 2.511
```

Summary:
E above lowest polymorph   1.69 kJ per mole of atoms
DOS at the Fermi energy   5.822 states/eV per cell
Spin magnetization   0.000 μB/atom
Symmetry   No. 123
Raw total energy   -4.546 eV per atom
Calculated formation energy   26 meV/atom


# 7
Crystalline ReAs2Pd2 at its relaxed geometry. Source: Alexandria, functional GGA-PBE.

The structure in POSCAR format:
```
ReAs2Pd2
1.0
6.660 0.000 0.000
0.000 6.660 0.000
0.000 0.000 3.636
Pd As Re
4 4 2
Cartesian
4.344 5.647 1.818
5.647 2.317 1.818
1.013 4.344 1.818
2.317 1.013 1.818
2.298 5.628 0.000
1.033 2.298 0.000
4.363 1.033 0.000
5.628 4.363 0.000
3.330 3.330 0.000
0.000 0.000 0.000
```

Summary:
DOS at the Fermi energy   7.014 states/eV per cell
Spin magnetization   0.000 μB/atom
Symmetry   No. 127
Raw total energy   -6.313 eV per atom
Calculated formation energy   114 meV/atom


# 8
Crystalline RbTeS2N at its relaxed geometry. Source: Alexandria, functional GGA-PBE.

The structure in POSCAR format:
```
RbTeS2N
1.0
5.265 0.000 0.000
0.000 5.265 0.000
0.000 0.000 4.357
N S Rb Te
1 2 1 1
Cartesian
0.000 0.000 2.178
2.632 0.000 0.000
0.000 2.632 0.000
2.632 2.632 2.178
0.000 0.000 0.000
```

Summary:
E above lowest polymorph   0.00 kJ per mole of atoms
DOS at the Fermi energy   2.485 states/eV per cell
Spin magnetization   0.363 μB/atom
Symmetry   No. 123
Raw total energy   -3.745 eV per atom
Raw formation energy   393 meV per atom


# 9
Crystalline La3Sn2Pd2 at its relaxed geometry. Source: Alexandria, functional GGA-PBE.

The structure in POSCAR format:
```
La3Sn2Pd2
1.0
-4.587 -3.709 1.112
5.500 -5.645 3.862
-2.161 6.399 12.429
La Pd Sn
12 8 8
Cartesian
2.927 -1.834 11.073
-0.353 -1.847 12.964
-3.620 0.402 13.693
-4.174 -1.120 6.331
0.616 -4.933 6.671
-2.961 -1.549 9.902
-0.894 -1.108 4.440
1.714 -1.405 7.501
-3.515 -3.072 2.540
2.373 -3.357 3.711
2.268 0.117 14.863
-1.864 1.978 10.732
-0.040 -0.694 9.880
-1.208 -2.261 7.524
2.631 -4.203 9.191
-0.524 -4.284 3.594
-3.878 1.249 8.212
3.314 -6.226 5.262
-4.561 3.272 12.142
-0.723 1.329 13.809
3.763 -3.932 6.703
-0.087 -2.593 1.320
-2.358 -3.835 5.589
-1.167 0.606 7.534
1.000 -6.760 3.654
-5.010 0.978 10.700
-0.080 -3.561 9.869
1.110 0.880 11.814
```

Summary:
DOS at the Fermi energy   21.478 states/eV per cell
Spin magnetization   0.000 μB/atom
Symmetry   No. 57
Raw total energy   -5.616 eV per atom
Calculated formation energy   -877 meV/atom


# 10
Crystalline Al2CoHg at its relaxed geometry. Source: Alexandria, functional GGA-PBE.

The structure in POSCAR format:
```
Al2CoHg
1.0
-2.256 2.880 8.136
-4.862 3.143 6.787
-4.050 0.551 7.929
Hg Al Co
1 2 1
Cartesian
-8.456 4.978 17.302
-11.110 6.540 22.732
-2.683 1.579 5.489
-5.673 3.339 11.607
```

Summary:
E above lowest polymorph   31.84 kJ per mole of atoms
DOS at the Fermi energy   2.715 states/eV per cell
Spin magnetization   0.260 μB/atom
Symmetry   No. 160
Raw total energy   -3.603 eV per atom
Calculated formation energy   120 meV/atom


# 11
Crystalline Ta2TlIr at its relaxed geometry. Source: Alexandria, functional GGA-PBE.

The structure in POSCAR format:
```
Ta2TlIr
1.0
9.332 0.000 0.000
8.809 3.080 0.000
8.809 1.495 2.692
Ta Ir Tl
2 1 1
Cartesian
6.920 1.175 0.691
0.137 0.023 0.014
19.973 3.391 1.995
13.397 2.274 1.338
```

Summary:
E above lowest polymorph   21.71 kJ per mole of atoms
DOS at the Fermi energy   2.491 states/eV per cell
Spin magnetization   0.000 μB/atom
Symmetry   No. 160
Raw total energy   -8.510 eV per atom
Calculated formation energy   223 meV/atom


# 12
Crystalline TlBr3Cl at its relaxed geometry. Source: Alexandria, functional GGA-PBE.

The structure in POSCAR format:
```
TlBr3Cl
1.0
-3.390 5.600 3.792
-6.033 -5.269 1.036
-0.701 -4.424 7.011
Br Tl Cl
6 2 2
Cartesian
-4.399 2.193 7.911
-3.810 0.253 4.471
-6.656 -4.389 5.213
-7.893 -2.257 9.795
-3.213 -4.065 3.408
-7.099 -6.218 9.023
-5.385 -5.420 7.205
-6.306 0.004 4.570
-8.449 -0.893 5.110
-3.246 -4.503 7.815
```

Summary:
E above lowest polymorph   0.00 kJ per mole of atoms
Spin magnetization   0.000 μB/atom
Symmetry   No. 1
Raw total energy   -2.226 eV per atom
Raw formation energy   -380 meV per atom


# 13
Crystalline LiInSb4 at its relaxed geometry. Source: Alexandria, functional GGA-PBE.

The structure in POSCAR format:
```
LiInSb4
1.0
3.629 -3.237 -4.064
3.316 -5.012 2.012
-1.684 -5.840 -1.793
Sb In Li
4 1 1
Cartesian
1.135 -8.201 -2.338
1.974 -5.288 -1.443
3.628 -7.787 -0.440
3.784 -6.902 -3.470
3.945 -10.567 -2.884
0.000 0.000 0.000
```

Summary:
DOS at the Fermi energy   0.432 states/eV per cell
Spin magnetization   0.000 μB/atom
Symmetry   No. 216
Raw total energy   -3.478 eV per atom
Raw formation energy   46 meV per atom


# 14
Crystalline Pm3Sm2PuSe6 at its relaxed geometry. Source: Alexandria, functional GGA-PBE.

The structure in POSCAR format:
```
Pm3Sm2PuSe6
1.0
-0.946 1.392 -3.804
6.511 -4.242 -3.172
-6.381 -6.681 1.417
Pu Sm Se Pm
1 2 6 3
Cartesian
-0.473 0.696 -1.902
-0.706 -6.158 -4.352
-0.110 -3.374 -1.207
1.380 -7.888 -3.230
4.902 -3.198 -2.390
1.016 -3.783 -3.911
-2.195 -1.643 -2.330
-1.832 -5.749 -1.648
-5.718 -6.333 -3.169
3.151 -5.539 -2.811
-3.967 -3.992 -2.749
2.783 -1.425 -3.488
```

Summary:
DOS at the Fermi energy   9.955 states/eV per cell
Spin magnetization   0.496 μB/atom
Symmetry   No. 12
Raw total energy   -6.705 eV per atom
Raw formation energy   -1794 meV per atom


# 15
Crystalline Pr3DyP4 at its relaxed geometry. Source: Alexandria, functional GGA-PBE.

The structure in POSCAR format:
```
Pr3DyP4
1.0
-7.177 -0.497 0.247
2.290 -1.550 -6.645
0.628 -8.030 2.090
P Pr Dy
8 6 2
Cartesian
-4.886 -8.734 -2.954
-6.186 -5.930 -0.076
-2.760 -3.605 -0.740
-2.485 -7.685 0.355
1.928 -4.147 -4.233
-1.774 -2.392 -4.663
-1.499 -6.472 -3.569
0.627 -1.343 -1.355
-3.844 -6.178 -1.828
-5.148 -3.374 0.966
-4.160 -2.144 -2.878
-0.415 -3.899 -2.480
-1.401 -5.153 1.370
-0.099 -7.933 -1.430
-1.717 -1.118 0.320
-4.832 -7.409 2.016
```

Summary:
DOS at the Fermi energy   2.048 states/eV per cell
Spin magnetization   0.000 μB/atom
Symmetry   No. 13
Raw total energy   -6.602 eV per atom
Calculated formation energy   -1530 meV/atom


# 16
Crystalline BeBTe2 at its relaxed geometry. Source: Alexandria, functional GGA-PBE.

The structure in POSCAR format:
```
BeBTe2
1.0
2.174 0.000 7.278
-1.087 1.883 7.278
-1.087 -1.883 7.278
Be Te B
1 2 1
Cartesian
0.000 0.000 0.000
0.000 0.000 19.571
0.000 0.000 2.264
0.000 0.000 10.917
```

Summary:
E above lowest polymorph   48.51 kJ per mole of atoms
DOS at the Fermi energy   1.812 states/eV per cell
Spin magnetization   0.000 μB/atom
Symmetry   No. 166
Raw total energy   -3.264 eV per atom
Raw formation energy   908 meV per atom


# 17
Crystalline Ag2RuBr at its relaxed geometry. Source: Alexandria, functional GGA-PBE.

The structure in POSCAR format:
```
Ag2RuBr
1.0
-1.572 6.590 0.150
-5.770 3.523 -0.468
4.159 -4.623 2.694
Br Ag Ru
1 2 1
Cartesian
-0.542 3.512 1.342
-0.375 0.517 -0.016
-3.296 4.539 -0.143
-2.641 1.978 1.033
```

Summary:
E above lowest polymorph   12.34 kJ per mole of atoms
DOS at the Fermi energy   3.424 states/eV per cell
Spin magnetization   0.229 μB/atom
Symmetry   No. 71
Raw total energy   -3.563 eV per atom
Raw formation energy   600 meV per atom


# 18
Crystalline Mg2SBrO at its relaxed geometry. Source: Alexandria, functional GGA-PBE.

The structure in POSCAR format:
```
Mg2SBrO
1.0
4.614 0.000 0.000
0.000 4.241 0.000
0.000 0.000 4.614
Br Mg S O
1 2 1 1
Cartesian
2.307 2.120 2.307
2.307 0.000 0.000
0.000 0.000 2.307
0.000 2.120 0.000
0.000 0.000 0.000
```

Summary:
DOS at the Fermi energy   1.676 states/eV per cell
Spin magnetization   0.000 μB/atom
Symmetry   No. 123
Raw total energy   -3.398 eV per atom
Raw formation energy   -608 meV per atom


# 19
Crystalline K2InGeI5 at its relaxed geometry. Source: Alexandria, functional GGA-PBE.

The structure in POSCAR format:
```
K2InGeI5
1.0
4.621 0.000 0.000
-2.311 10.369 0.000
0.000 0.000 16.812
K I In Ge
4 10 2 2
Cartesian
2.311 7.717 13.500
0.000 2.652 5.094
2.311 8.933 2.304
0.000 1.437 10.709
0.000 5.783 6.972
2.311 5.438 2.622
2.311 0.047 4.403
2.311 8.206 9.787
0.000 2.163 1.381
0.000 8.003 16.553
2.311 2.367 8.147
0.000 10.323 12.808
2.311 4.586 15.377
0.000 4.932 11.028
2.311 1.250 15.956
0.000 9.119 7.551
0.000 5.080 0.597
2.311 5.289 9.003
```

Summary:
DOS at the Fermi energy   0.000 states/eV per cell
Spin magnetization   0.000 μB/atom
Symmetry   No. 36
Raw total energy   -2.743 eV per atom
Raw formation energy   -821 meV per atom


# 20
Crystalline LiLa4Ga2 at its relaxed geometry. Source: Alexandria, functional GGA-PBE.

The structure in POSCAR format:
```
LiLa4Ga2
1.0
-2.946 -1.547 -4.065
2.102 -2.976 -3.785
-2.595 -8.805 1.836
Ga La Li
2 4 1
Cartesian
-1.476 -6.514 -6.635
-1.963 -6.813 0.620
-1.131 -4.188 -0.982
-0.842 -3.895 -4.697
-2.308 -9.140 -5.034
-2.597 -9.433 -1.318
0.000 0.000 0.000
```

Summary:
E above lowest polymorph   8.56 kJ per mole of atoms
DOS at the Fermi energy   8.358 states/eV per cell
Spin magnetization   0.000 μB/atom
Symmetry   No. 166
Raw total energy   -4.179 eV per atom
Calculated formation energy   -225 meV/atom